Cs2KLiS after structural relaxation. Source: Alexandria via LeMat-Bulk, functional GGA-PBE.

- E: -0.1621 Ry per atom
- Calculated density: 2.16 Mg/m³
- Fermi-level density of states: 0.367 states/eV/atom

abc: 7.6638 4.5026 7.6638
angles: 90.00 90.00 90.00
Closest atoms and distances in Å follow each position.
Fractional positions:
Cs 0.0000 0.0000 0.5000  2 Li 3.83
Cs 0.5000 0.0000 0.0000  2 Li 3.83
K 0.5000 0.5000 0.5000  8 Cs 4.44, 2 K 4.50
S 0.0000 0.5000 0.0000  2 Li 2.25
Li 0.0000 0.0000 0.0000  2 S 2.25